(1)
{
  "formula": "FeHgGe2C",
  "functional": "PBE-GGA",
  "state": "optimized geometry",
  "lattice": [[4.250, 0.000, 0.000], [0.000, 4.250, 0.000], [0.000, 0.000, 4.744]],
  "species": ["Fe", "Hg", "Ge", "Ge", "C"],
  "frac_coords": [[0.000, 0.000, 0.000], [0.500, 0.500, 0.000], [0.000, 0.500, 0.500], [0.500, 0.000, 0.500], [0.500, 0.500, 0.500]],
  "dos_at_fermi_per_ev_atom": 0.9167,
  "sg": "No. 123"
}

=====

(2)
{
  "formula": "La2FeGeC",
  "functional": "PBE-GGA",
  "state": "optimized geometry",
  "lattice": [[5.365, 0.000, 0.000], [0.000, 5.365, 0.000], [0.000, 0.000, 3.702]],
  "species": ["La", "La", "Fe", "Ge", "C"],
  "frac_coords": [[0.000, 0.500, 0.000], [0.500, 0.000, 0.000], [0.000, 0.000, 0.500], [0.500, 0.500, 0.500], [0.000, 0.000, 0.000]],
  "dos_at_fermi_per_ev_atom": 0.7685,
  "sg": "No. 123"
}

=====

(3)
{
  "formula": "LiFe2GeC",
  "functional": "PBE-GGA",
  "state": "optimized geometry",
  "lattice": [[3.726, 0.000, 0.000], [0.000, 3.726, 0.000], [0.000, 0.000, 3.793]],
  "species": ["Li", "Fe", "Fe", "Ge", "C"],
  "frac_coords": [[0.000, 0.000, 0.000], [0.000, 0.500, 0.500], [0.500, 0.000, 0.500], [0.500, 0.500, 0.000], [0.000, 0.000, 0.500]],
  "dos_at_fermi_per_ev_atom": 0.4495,
  "sg": "No. 123"
}

=====

(4)
{
  "formula": "Mn2FeGeC",
  "functional": "PBE-GGA",
  "state": "optimized geometry",
  "lattice": [[3.782, 0.000, 0.000], [0.000, 3.782, 0.000], [0.000, 0.000, 3.823]],
  "species": ["Mn", "Mn", "Fe", "Ge", "C"],
  "frac_coords": [[0.000, 0.500, 0.000], [0.500, 0.000, 0.000], [0.000, 0.000, 0.500], [0.500, 0.500, 0.500], [0.000, 0.000, 0.000]],
  "dos_at_fermi_per_ev_atom": 0.7185,
  "sg": "No. 123"
}

=====

(5)
{
  "formula": "NdFe2Ge2C",
  "functional": "PBE-GGA",
  "state": "optimized geometry",
  "lattice": [[3.980, 0.000, 0.000], [0.000, 3.980, 0.000], [0.000, 0.000, 5.489]],
  "species": ["Nd", "Fe", "Fe", "Ge", "Ge", "C"],
  "frac_coords": [[0.000, 0.000, 0.000], [0.000, 0.500, 0.500], [0.500, 0.000, 0.500], [0.500, 0.500, 0.233], [0.500, 0.500, 0.767], [0.000, 0.000, 0.500]],
  "dos_at_fermi_per_ev_atom": 0.6337,
  "sg": "No. 123"
}

=====

(6)
{
  "formula": "Np2Fe2Ge2C",
  "functional": "PBE-GGA",
  "state": "optimized geometry",
  "lattice": [[5.372, -1.993, 0.000], [5.372, 1.993, 0.000], [-4.144, 0.000, 5.261]],
  "species": ["Np", "Np", "Fe", "Fe", "Ge", "Ge", "C"],
  "frac_coords": [[0.049, 0.049, 0.274], [0.951, 0.951, 0.726], [0.304, 0.304, 0.916], [0.696, 0.696, 0.084], [0.335, 0.335, 0.299], [0.665, 0.665, 0.701], [0.500, 0.500, 0.000]],
  "dos_at_fermi_per_ev_atom": 2.3000,
  "sg": "No. 12"
}

=====

(7)
{
  "formula": "NpFe2GeC",
  "functional": "PBE-GGA",
  "state": "optimized geometry",
  "lattice": [[1.885, -5.373, 0.000], [1.885, 5.373, 0.000], [0.000, 0.000, 6.773]],
  "species": ["Np", "Np", "Fe", "Fe", "Fe", "Fe", "Ge", "Ge", "C", "C"],
  "frac_coords": [[0.053, 0.947, 0.750], [0.947, 0.053, 0.250], [0.338, 0.662, 0.557], [0.338, 0.662, 0.943], [0.662, 0.338, 0.057], [0.662, 0.338, 0.443], [0.226, 0.774, 0.250], [0.774, 0.226, 0.750], [0.500, 0.500, 0.000], [0.500, 0.500, 0.500]],
  "dos_at_fermi_per_ev_atom": 1.9463,
  "sg": "No. 63"
}

=====

(8)
{
  "formula": "Pa2FeGeC",
  "functional": "PBE-GGA",
  "state": "optimized geometry",
  "lattice": [[6.438, 0.000, 0.000], [0.000, 3.929, 0.000], [-3.106, 0.000, 7.137]],
  "species": ["Pa", "Pa", "Pa", "Pa", "Fe", "Fe", "Ge", "Ge", "C", "C"],
  "frac_coords": [[0.167, 0.250, 0.411], [0.237, 0.750, 0.010], [0.763, 0.250, 0.990], [0.833, 0.750, 0.589], [0.218, 0.250, 0.715], [0.782, 0.750, 0.285], [0.446, 0.750, 0.721], [0.554, 0.250, 0.279], [0.016, 0.750, 0.184], [0.984, 0.250, 0.816]],
  "dos_at_fermi_per_ev_atom": 0.5581,
  "sg": "No. 11"
}

=====

The calculation returns the following total moment values, one per record and in order: 2.59; 0.94; 0.00; 1.79; 2.48; 7.52; 4.77; 0.00 μB/cell.
The calculation returns the following ΔH_f (0 K) values, one per record and in order: 1.29; -0.31; 0.03; -0.02; -0.27; -0.18; -0.14; -0.46 eV/atom.